No. 1
This record from the Alexandria database describes an optimized crystal structure of CdGaRh2Cl. The functional is PBE.

```
CdGaRh2Cl
1.0
5.075 0.000 0.000
0.000 5.075 0.000
0.000 0.000 5.069
Cd Ga Rh Cl
1 1 2 1
Direct
0.000 0.000 0.000
0.000 0.000 0.500
0.000 0.500 0.000
0.500 0.000 0.000
0.500 0.500 0.500
```

theoretical density = 5385 kg/m3
symmetry = P4/mmm
E_tot = -14.81 eV per cell
energy relative to the elements, uncorrected = 1137.2 meV per atom
crystal system = tetragonal

No. 2
This record from the Alexandria database describes an optimized crystal structure of CdGaSCl2. The functional is PBE.

```
CdGaSCl2
1.0
5.269 0.000 0.000
0.000 5.269 0.000
0.000 0.000 5.083
Cd Ga S Cl
1 1 1 2
Direct
0.000 0.000 0.000
0.500 0.500 0.500
0.000 0.000 0.500
0.000 0.500 0.000
0.500 0.000 0.000
```

theoretical density = 3354 kg/m3
symmetry = P4/mmm
E_tot = -13.25 eV per cell
energy relative to the elements, uncorrected = -297.6 meV per atom
crystal system = tetragonal

No. 3
This record from the Alexandria database describes an optimized crystal structure of CdGaS2Cl. The functional is PBE.

```
CdGaS2Cl
1.0
4.775 0.000 0.000
0.000 4.775 0.000
0.000 0.000 4.772
Cd Ga S Cl
1 1 2 1
Direct
0.000 0.000 0.000
0.500 0.500 0.500
0.000 0.500 0.500
0.500 0.000 0.500
0.500 0.500 0.000
```

theoretical density = 4299 kg/m3
symmetry = P4/mmm
E_tot = -14.60 eV per cell
energy relative to the elements, uncorrected = -111.6 meV per atom
crystal system = tetragonal

No. 4
This record from the Alexandria database describes an optimized crystal structure of CdGaSCl2. The functional is PBE.

```
CdGaSCl2
1.0
4.817 0.000 0.000
0.000 4.817 0.000
0.000 0.000 4.892
Cd Ga S Cl
1 1 1 2
Direct
0.000 0.000 0.000
0.500 0.500 0.500
0.500 0.500 0.000
0.000 0.500 0.500
0.500 0.000 0.500
```

theoretical density = 4171 kg/m3
symmetry = P4/mmm
E_tot = -13.68 eV per cell
energy relative to the elements, uncorrected = -384.4 meV per atom
crystal system = tetragonal

No. 5
This record from the Alexandria database describes an optimized crystal structure of CdGaS2Cl. The functional is PBE.

```
CdGaS2Cl
1.0
4.999 0.000 0.000
0.000 4.999 0.000
0.000 0.000 5.481
Cd Ga S Cl
1 1 2 1
Direct
0.000 0.000 0.000
0.500 0.500 0.500
0.000 0.500 0.000
0.500 0.000 0.000
0.000 0.000 0.500
```

theoretical density = 3415 kg/m3
symmetry = P4/mmm
E_tot = -13.40 eV per cell
energy relative to the elements, uncorrected = 129.0 meV per atom
crystal system = tetragonal

No. 6
This record from the Alexandria database describes an optimized crystal structure of TiCdGaCl2. The functional is PBE.

```
TiCdGaCl2
1.0
5.068 0.000 0.000
0.000 5.068 0.000
0.000 0.000 5.410
Ti Cd Ga Cl
1 1 1 2
Direct
0.000 0.000 0.000
0.500 0.500 0.000
0.000 0.000 0.500
0.000 0.500 0.500
0.500 0.000 0.500
```

theoretical density = 3597 kg/m3
symmetry = P4/mmm
E_tot = -14.66 eV per cell
energy relative to the elements, uncorrected = 174.5 meV per atom
crystal system = tetragonal

No. 7
This record from the Alexandria database describes an optimized crystal structure of TiCdGaCl6. The functional is PBE.

```
TiCdGaCl6
1.0
6.681 0.000 0.000
-3.340 5.786 0.000
0.000 0.000 6.448
Ti Cd Ga Cl
1 1 1 6
Direct
0.000 0.000 0.000
0.667 0.333 0.000
0.333 0.667 0.500
0.307 0.021 0.220
0.307 0.286 0.780
0.714 0.021 0.780
0.714 0.693 0.220
0.979 0.286 0.220
0.979 0.693 0.780
```

theoretical density = 2950 kg/m3
symmetry = P312
E_tot = -33.77 eV per cell
energy relative to the elements, uncorrected = -1206.4 meV per atom
crystal system = trigonal

No. 8
This record from the Alexandria database describes an optimized crystal structure of TlCd2GaCl. The functional is PBE.

```
TlCd2GaCl
1.0
5.564 0.000 0.000
0.000 5.564 0.000
0.000 0.000 5.549
Tl Cd Ga Cl
1 2 1 1
Direct
0.000 0.000 0.000
0.000 0.500 0.000
0.500 0.000 0.000
0.000 0.000 0.500
0.500 0.500 0.500
```

theoretical density = 5165 kg/m3
symmetry = P4/mmm
E_tot = -8.59 eV per cell
energy relative to the elements, uncorrected = 95.7 meV per atom
crystal system = tetragonal

No. 9
This record from the Alexandria database describes an optimized crystal structure of Gd2CdCl. The functional is PBE.

```
Gd2CdCl
1.0
1.986 1.146 7.685
-1.986 1.146 7.685
0.000 -2.293 7.685
Gd Cd Cl
2 1 1
Direct
0.239 0.239 0.239
0.761 0.761 0.761
0.000 0.000 0.000
0.500 0.500 0.500
```

theoretical density = 7316 kg/m3
symmetry = R-3m
E_tot = -33.87 eV per cell
energy relative to the elements, uncorrected = -737.1 meV per atom
crystal system = trigonal

No. 10
This record from the Alexandria database describes an optimized crystal structure of CdGe2Cl6. The functional is PBE.

```
CdGe2Cl6
1.0
5.758 -6.718 0.000
5.758 6.718 0.000
-1.318 0.000 6.965
Cd Ge Cl
2 4 12
Direct
0.064 0.936 0.750
0.936 0.064 0.250
0.227 0.478 0.821
0.478 0.227 0.321
0.522 0.773 0.679
0.773 0.522 0.179
0.042 0.641 0.839
0.056 0.196 0.603
0.196 0.056 0.103
0.298 0.543 0.522
0.359 0.958 0.661
0.457 0.702 0.978
0.543 0.298 0.022
0.641 0.042 0.339
0.702 0.457 0.478
0.804 0.944 0.897
0.944 0.804 0.397
0.958 0.359 0.161
```

theoretical density = 2899 kg/m3
symmetry = C2/c
E_tot = -58.03 eV per cell
energy relative to the elements, uncorrected = -864.9 meV per atom
crystal system = monoclinic

No. 11
This record from the Alexandria database describes an optimized crystal structure of Cd2GeCl2. The functional is PBE.

```
Cd2GeCl2
1.0
-1.920 1.920 9.098
1.920 -1.920 9.098
1.920 1.920 -9.098
Cd Ge Cl
2 1 2
Direct
0.250 0.750 0.500
0.750 0.250 0.500
0.000 0.000 0.000
0.415 0.415 0.000
0.585 0.585 0.000
```

theoretical density = 4558 kg/m3
symmetry = I4/mmm
E_tot = -10.42 eV per cell
energy relative to the elements, uncorrected = -55.8 meV per atom
crystal system = tetragonal

No. 12
This record from the Alexandria database describes an optimized crystal structure of Cd2GeCl2. The functional is PBE.

```
Cd2GeCl2
1.0
8.662 0.000 0.000
0.000 8.662 0.000
0.000 0.000 3.605
Cd Ge Cl
4 2 4
Direct
0.109 0.391 0.000
0.391 0.891 0.000
0.609 0.109 0.000
0.891 0.609 0.000
0.000 0.000 0.500
0.500 0.500 0.500
0.234 0.734 0.500
0.266 0.234 0.500
0.734 0.766 0.500
0.766 0.266 0.500
```

theoretical density = 4522 kg/m3
symmetry = P4/mbm
E_tot = -21.37 eV per cell
energy relative to the elements, uncorrected = -109.0 meV per atom
crystal system = tetragonal